No. 1
A plane-wave DFT calculation with PBE was carried out for a geometry-optimized CdAs structure.

Lattice parameters (Å, degrees): 8.412 8.412 8.412 90.00 90.00 90.00
Fractional positions:
Cd1 0.335 0.335 0.335
Cd2 0.335 0.665 0.665
Cd3 0.665 0.335 0.665
Cd4 0.665 0.665 0.335
Cd5 0.835 0.835 0.835
Cd6 0.835 0.165 0.165
Cd7 0.165 0.835 0.165
Cd8 0.165 0.165 0.835
As1 0.159 0.159 0.159
As2 0.159 0.841 0.841
As3 0.841 0.159 0.841
As4 0.841 0.841 0.159
As5 0.659 0.659 0.659
As6 0.659 0.341 0.341
As7 0.341 0.659 0.341
As8 0.341 0.341 0.659

Computed properties:
Space-group type: I-43m
Energy relative to the elements, eV/atom: 0.3098
Distance to the lowest polymorph of the same formula, meV per atom: 391



No. 2
A plane-wave DFT calculation with PBE was carried out for a geometry-optimized Ca2MgSi2Pd5 structure.

Lattice parameters (Å, degrees): 3.373 10.332 10.332 90.00 90.00 90.00
Fractional positions:
Ca1 0.000 0.675 0.175
Ca2 0.000 0.325 0.825
Ca3 0.000 0.175 0.325
Ca4 0.000 0.825 0.675
Mg1 0.000 0.000 0.000
Mg2 0.000 0.500 0.500
Si1 0.000 0.126 0.626
Si2 0.000 0.874 0.374
Si3 0.000 0.626 0.874
Si4 0.000 0.374 0.126
Pd1 0.500 0.215 0.065
Pd2 0.500 0.785 0.935
Pd3 0.500 0.065 0.785
Pd4 0.500 0.715 0.435
Pd5 0.500 0.935 0.215
Pd6 0.500 0.285 0.565
Pd7 0.500 0.565 0.715
Pd8 0.500 0.435 0.285
Pd9 0.500 0.500 0.000
Pd10 0.500 0.000 0.500

Computed properties:
Space-group type: P4/mbm
Uncorrected formation energy, eV/f.u.: -7.3



No. 3
A plane-wave DFT calculation with PBE was carried out for a geometry-optimized LaErTm2 structure.

Lattice parameters (Å, degrees): 6.854 6.918 13.098 121.92 90.00 90.00
Fractional positions:
La1 0.368 0.021 0.394
La2 0.632 0.979 0.606
La3 0.368 0.479 0.106
La4 0.632 0.521 0.894
Er1 0.119 0.493 0.615
Er2 0.881 0.507 0.385
Er3 0.119 0.007 0.885
Er4 0.881 0.993 0.115
Tm1 0.623 0.011 0.887
Tm2 0.377 0.989 0.113
Tm3 0.623 0.489 0.613
Tm4 0.377 0.511 0.387
Tm5 0.872 0.489 0.114
Tm6 0.128 0.511 0.886
Tm7 0.872 0.011 0.386
Tm8 0.128 0.989 0.614

Computed properties:
Space-group type: P2/c
Energy relative to the elements, eV/atom: 0.2144
Distance to the lowest polymorph of the same formula, meV per atom: 203